A relaxed MnCu3B crystal, computed with GGA-PBE.

a b c (Å): 3.950 3.950 3.950
angles (deg): 90.00 90.00 90.00
Fractional coordinates of all 5 atoms:
Mn 0.500 0.500 0.500
Cu 0.500 0.000 0.000
Cu 0.000 0.000 0.500
Cu 0.000 0.500 0.000
B 0.000 0.000 0.000

## Properties
- Final energy: -5.342 eV/atom
- DFT formation energy: 6.56 kcal/mol of atoms
- Space group: Pm-3m, No. 221
- E above lowest polymorph: 0.00 eV/f.u.



A relaxed CeSm3Dy2Ho6 crystal, computed with GGA-PBE.

a b c (Å): 6.162 6.162 11.749
angles (deg): 95.01 95.01 119.98
Fractional coordinates of all 12 atoms:
Sm 0.832 0.168 0.500
Sm 0.500 0.500 0.500
Sm 0.168 0.832 0.500
Ho 0.586 0.917 0.752
Ho 0.917 0.586 0.752
Ho 0.248 0.248 0.752
Ho 0.083 0.414 0.248
Ho 0.752 0.752 0.248
Ho 0.414 0.083 0.248
Dy 0.667 0.333 0.000
Dy 0.333 0.667 0.000
Ce 0.000 0.000 0.000

## Properties
- Final energy: -4.697 eV/atom
- DFT formation energy: 0.78 kcal/mol of atoms
- Space group: C2/m, No. 12



Question: What is the formula in the first record?
Answer: MnCu3B



Question: DFT formation energy of number 2 (CeSm3Dy2Ho6)?
Answer: 0.78 kcal/mol of atoms



Question: Which of these has the highest DFT formation energy?
Answer: MnCu3B